# MgCdSn PBE optimized geometry
# - crystal system = monoclinic
# - formation energy from the elements (meV/atom) = -26
# - symmetry = Pm, No. 6
# - E (eV per atom) = -2.20
data_MgCdSn
_chemical_formula_sum 'Mg2 Cd2 Sn2'
_space_group_name_H-M_alt 'P 1'
_space_group_IT_number 1
_cell_length_a 7.504
_cell_length_b 4.586
_cell_length_c 4.382
_cell_angle_alpha 90.01
_cell_angle_beta 107.47
_cell_angle_gamma 90.02
loop_
_space_group_symop_operation_xyz
'x,y,z'
loop_
_atom_site_label
_atom_site_fract_x
_atom_site_fract_y
_atom_site_fract_z
Cd1 0.070 0.787 0.553
Sn1 0.773 0.287 0.402
Cd2 0.411 0.287 0.726
Sn2 0.401 0.787 0.221
Mg1 0.739 0.787 0.885
Mg2 0.087 0.287 0.063